<1>
Entry from Alexandria: an optimized crystal structure of ZrSnPd6 (GGA-PBE).

Values from the calculation:
As for the space group: P-1, No. 2.

a b c (Å): 7.029 7.009 5.179
angles (deg): 47.33 47.16 65.73
Fractional coordinates of all 8 atoms:
Zr (0.000, 0.000, 0.000)
Sn (0.500, 0.500, 0.500)
Pd (0.958, 0.544, 0.749)
Pd (0.749, 0.042, 0.663)
Pd (0.546, 0.251, 0.160)
Pd (0.251, 0.958, 0.337)
Pd (0.042, 0.456, 0.251)
Pd (0.454, 0.749, 0.840)

<2>
Entry from Alexandria: an optimized crystal structure of ZrSnPd6 (GGA-PBE).

Values from the calculation:
As for the space group: P4/mmm, No. 123.

a b c (Å): 4.043 4.043 8.053
angles (deg): 90.00 90.00 90.00
Fractional coordinates of all 8 atoms:
Zr (0.000, 0.000, 0.500)
Sn (0.000, 0.000, 0.000)
Pd (0.500, 0.500, 0.000)
Pd (0.500, 0.500, 0.500)
Pd (0.500, 0.000, 0.253)
Pd (0.500, 0.000, 0.747)
Pd (0.000, 0.500, 0.253)
Pd (0.000, 0.500, 0.747)

Q: Which of them is the least stable? A: <1>.

<1>
Entry from Alexandria: an optimized crystal structure of Sr4Pd (GGA-PBE).

Values from the calculation:
As for the space group: Pm-3m, No. 221.

a b c (Å): 6.102 6.102 6.102
angles (deg): 90.00 90.00 90.00
Fractional coordinates of all 5 atoms:
Sr (0.000, 0.000, 0.000)
Sr (0.500, 0.000, 0.500)
Sr (0.000, 0.500, 0.500)
Sr (0.500, 0.500, 0.000)
Pd (0.500, 0.500, 0.500)

<2>
Entry from Alexandria: an optimized crystal structure of Sr4Pd (GGA-PBE).

Values from the calculation:
As for the space group: Fd-3m, No. 227.

a b c (Å): 8.889 8.889 8.889
angles (deg): 60.00 60.00 60.00
Fractional coordinates of all 10 atoms:
Sr (0.869, 0.869, 0.869)
Sr (0.869, 0.394, 0.869)
Sr (0.869, 0.869, 0.394)
Sr (0.381, 0.856, 0.381)
Sr (0.381, 0.381, 0.381)
Sr (0.394, 0.869, 0.869)
Sr (0.381, 0.381, 0.856)
Sr (0.856, 0.381, 0.381)
Pd (0.250, 0.250, 0.250)
Pd (0.000, 0.000, 0.000)

Q: Which of them is the least stable? A: <2>.

<1>
Entry from Alexandria: an optimized crystal structure of SrPd6 (GGA-PBE).

Values from the calculation:
As for the space group: Pm-3m, No. 221.

a b c (Å): 6.068 6.068 6.068
angles (deg): 90.00 90.00 90.00
Fractional coordinates of all 7 atoms:
Sr (0.000, 0.000, 0.000)
Pd (0.196, 0.500, 0.500)
Pd (0.500, 0.500, 0.804)
Pd (0.500, 0.500, 0.196)
Pd (0.500, 0.196, 0.500)
Pd (0.500, 0.804, 0.500)
Pd (0.804, 0.500, 0.500)

<2>
Entry from Alexandria: an optimized crystal structure of SrPd6 (GGA-PBE).

Values from the calculation:
As for the space group: Pnma, No. 62.

a b c (Å): 5.424 8.763 10.833
angles (deg): 90.00 90.00 90.00
Fractional coordinates of all 28 atoms:
Sr (0.750, 0.243, 0.940)
Sr (0.250, 0.757, 0.060)
Sr (0.750, 0.743, 0.560)
Sr (0.250, 0.257, 0.440)
Pd (0.750, 0.605, 0.018)
Pd (0.250, 0.395, 0.982)
Pd (0.750, 0.105, 0.482)
Pd (0.250, 0.895, 0.518)
Pd (0.005, 0.435, 0.196)
Pd (0.505, 0.565, 0.804)
Pd (0.495, 0.935, 0.304)
Pd (0.995, 0.065, 0.696)
Pd (0.995, 0.565, 0.804)
Pd (0.495, 0.435, 0.196)
Pd (0.505, 0.065, 0.696)
Pd (0.005, 0.935, 0.304)
Pd (0.250, 0.154, 0.156)
Pd (0.750, 0.846, 0.844)
Pd (0.250, 0.654, 0.344)
Pd (0.750, 0.346, 0.656)
Pd (0.250, 0.819, 0.765)
Pd (0.750, 0.181, 0.235)
Pd (0.250, 0.319, 0.735)
Pd (0.750, 0.681, 0.265)
Pd (0.250, 0.566, 0.583)
Pd (0.750, 0.434, 0.417)
Pd (0.250, 0.066, 0.917)
Pd (0.750, 0.934, 0.083)

Q: Which of them is the least stable? A: <1>.

<1>
Entry from Alexandria: an optimized crystal structure of SrTaPd2 (GGA-PBE).

Values from the calculation:
As for the space group: I-42d, No. 122.

a b c (Å): 7.630 7.630 6.321
angles (deg): 52.87 52.87 90.00
Site moments in Bohr magnetons follow the coordinates.
Fractional coordinates of all 8 atoms:
Sr (0.500, 0.500, 0.000)  0.05
Sr (0.250, 0.750, 0.500)  0.04
Pd (0.687, 0.125, 0.250)  0.04
Pd (0.063, 0.625, 0.250)  0.04
Pd (0.375, 0.313, 0.750)  0.06
Pd (0.875, 0.937, 0.750)  0.06
Ta (0.000, 0.000, 0.000)  0.44
Ta (0.750, 0.250, 0.500)  0.44

<2>
Entry from Alexandria: an optimized crystal structure of SrTaPd2 (GGA-PBE).

Values from the calculation:
As for the space group: Fm-3m, No. 225.

a b c (Å): 4.855 4.855 4.855
angles (deg): 60.00 60.00 60.00
Fractional coordinates of all 4 atoms:
Sr (0.000, 0.000, 0.000)
Pd (0.250, 0.250, 0.250)
Pd (0.750, 0.750, 0.750)
Ta (0.500, 0.500, 0.500)

Q: Which of them is the least stable? A: <1>.

<1>
Entry from Alexandria: an optimized crystal structure of SrTa2Pd (GGA-PBE).

Values from the calculation:
As for the space group: Fm-3m, No. 225.

a b c (Å): 4.793 4.793 4.793
angles (deg): 60.00 60.00 60.00
Fractional coordinates of all 4 atoms:
Sr (0.000, 0.000, 0.000)
Pd (0.500, 0.500, 0.500)
Ta (0.250, 0.250, 0.250)
Ta (0.750, 0.750, 0.750)

<2>
Entry from Alexandria: an optimized crystal structure of SrTa2Pd (GGA-PBE).

Values from the calculation:
As for the space group: I4_1/amd, No. 141.

a b c (Å): 4.994 4.994 10.034
angles (deg): 75.59 75.59 90.00
Fractional coordinates of all 8 atoms:
Sr (0.500, 0.500, 0.000)
Sr (0.250, 0.750, 0.500)
Pd (0.000, 0.000, 0.000)
Pd (0.750, 0.250, 0.500)
Ta (0.875, 0.125, 0.250)
Ta (0.875, 0.625, 0.250)
Ta (0.375, 0.125, 0.750)
Ta (0.875, 0.125, 0.750)

Q: Which of them is the least stable? A: <2>.

<1>
Entry from Alexandria: an optimized crystal structure of Sr2Ta2Pd (GGA-PBE).

Values from the calculation:
As for the space group: I4/mmm, No. 139.

a b c (Å): 4.165 4.165 8.108
angles (deg): 75.12 75.12 90.00
Fractional coordinates of all 5 atoms:
Sr (0.750, 0.250, 0.500)
Sr (0.250, 0.750, 0.500)
Pd (0.000, 0.000, 0.000)
Ta (0.425, 0.425, 0.150)
Ta (0.575, 0.575, 0.850)

<2>
Entry from Alexandria: an optimized crystal structure of Sr2Ta2Pd (GGA-PBE).

Values from the calculation:
As for the space group: P4/mbm, No. 127.

a b c (Å): 6.860 6.860 5.536
angles (deg): 90.00 90.00 90.00
Fractional coordinates of all 10 atoms:
Sr (0.176, 0.676, 0.500)
Sr (0.676, 0.824, 0.500)
Sr (0.824, 0.324, 0.500)
Sr (0.324, 0.176, 0.500)
Pd (0.000, 0.000, 0.000)
Pd (0.500, 0.500, 0.000)
Ta (0.367, 0.867, 0.000)
Ta (0.867, 0.633, 0.000)
Ta (0.633, 0.133, 0.000)
Ta (0.133, 0.367, 0.000)

Q: Which of them is the least stable? A: <1>.

<1>
Entry from Alexandria: an optimized crystal structure of Sr2TaPd (GGA-PBE).

Values from the calculation:
As for the space group: I-42d, No. 122.

a b c (Å): 11.221 11.221 8.317
angles (deg): 47.58 47.58 90.00
Site moments in Bohr magnetons follow the coordinates.
Fractional coordinates of all 8 atoms:
Sr (0.468, 0.125, 0.250)  0.02
Sr (0.282, 0.625, 0.250)  0.02
Sr (0.375, 0.532, 0.750)  0.03
Sr (0.875, 0.718, 0.750)  0.03
Pd (0.500, 0.500, 0.000)  0.00
Pd (0.250, 0.750, 0.500)  0.00
Ta (0.000, 0.000, 0.000)  1.22
Ta (0.750, 0.250, 0.500)  1.23

<2>
Entry from Alexandria: an optimized crystal structure of Sr2TaPd (GGA-PBE).

Values from the calculation:
As for the space group: Fm-3m, No. 225.

a b c (Å): 5.476 5.476 5.476
angles (deg): 60.00 60.00 60.00
Site moments in Bohr magnetons follow the coordinates.
Fractional coordinates of all 4 atoms:
Sr (0.250, 0.250, 0.250)  0.14
Sr (0.750, 0.750, 0.750)  0.14
Pd (0.000, 0.000, 0.000)  0.07
Ta (0.500, 0.500, 0.500)  2.23

Q: Which of them is the least stable? A: <2>.

<1>
Entry from Alexandria: an optimized crystal structure of SrTa3Pd (GGA-PBE).

Values from the calculation:
As for the space group: Pm-3m, No. 221.

a b c (Å): 4.999 4.999 4.999
angles (deg): 90.00 90.00 90.00
Fractional coordinates of all 5 atoms:
Sr (0.500, 0.500, 0.500)
Pd (0.000, 0.000, 0.000)
Ta (0.000, 0.500, 0.000)
Ta (0.000, 0.000, 0.500)
Ta (0.500, 0.000, 0.000)

<2>
Entry from Alexandria: an optimized crystal structure of SrTa3Pd (GGA-PBE).

Values from the calculation:
As for the space group: Pm-3m, No. 221.

a b c (Å): 4.804 4.804 4.804
angles (deg): 90.00 90.00 90.00
Fractional coordinates of all 5 atoms:
Sr (0.000, 0.000, 0.000)
Pd (0.500, 0.500, 0.500)
Ta (0.000, 0.500, 0.000)
Ta (0.000, 0.000, 0.500)
Ta (0.500, 0.000, 0.000)

Q: Which of them is the least stable? A: <2>.